# 1
The following is a DFT calculation (GGA-PBEsol) of a relaxed structure of Pb3Br2O2.

Structure (CIF):
```
data_Pb3Br2O2
_chemical_formula_sum 'Pb12 Br8 O8'
_space_group_name_H-M_alt 'P n m a'
_space_group_IT_number 62
_space_group_name_Hall '-P 2ac 2n'
_cell_length_a 12.173
_cell_length_b 5.875
_cell_length_c 9.787
_cell_angle_alpha 90.00
_cell_angle_beta 90.00
_cell_angle_gamma 90.00
loop_
_atom_site_label
_atom_site_type_symbol
_atom_site_fract_x
_atom_site_fract_y
_atom_site_fract_z
Pb1 Pb 0.057 0.250 0.209
Pb2 Pb 0.080 0.250 0.578
Pb3 Pb 0.213 0.750 0.364
Br1 Br 0.130 0.750 0.074
Br2 Br 0.190 0.750 0.694
O1 O 0.077 0.004 0.388
```

## Properties
M_tot, μB/cell: 0.00
Uncorrected formation energy, kJ/mol of atoms: -103.2

# 2
The following is a DFT calculation (GGA-PBEsol) of a relaxed structure of PbBr2O6.

Structure (CIF):
```
data_PbBr2O6
_chemical_formula_sum 'Pb4 Br8 O24'
_space_group_name_H-M_alt 'P b c n'
_space_group_IT_number 60
_space_group_name_Hall '-P 2n 2ab'
_cell_length_a 14.700
_cell_length_b 6.065
_cell_length_c 6.104
_cell_angle_alpha 90.00
_cell_angle_beta 90.00
_cell_angle_gamma 90.00
loop_
_atom_site_label
_atom_site_type_symbol
_atom_site_fract_x
_atom_site_fract_y
_atom_site_fract_z
Pb1 Pb 0.000 0.230 0.250
Br1 Br 0.159 0.290 0.722
O1 O 0.087 0.105 0.599
O2 O 0.090 0.408 0.916
O3 O 0.232 0.138 0.858
```

## Properties
M_tot, μB/cell: 0.00
Uncorrected formation energy, kJ/mol of atoms: -17.7

# 3
The following is a DFT calculation (GGA-PBEsol) of a relaxed structure of TlPb8Br9O4.

Structure (CIF):
```
data_TlPb8Br9O4
_chemical_formula_sum 'Tl2 Pb16 Br18 O8'
_space_group_name_H-M_alt 'P 4/n'
_space_group_IT_number 85
_cell_length_a 12.253
_cell_length_b 12.253
_cell_length_c 8.128
_cell_angle_alpha 90.00
_cell_angle_beta 90.00
_cell_angle_gamma 90.00
loop_
_space_group_symop_operation_xyz
'x,y,z'
'-x,-y,-z'
'-y+1/2,x,z'
'y+1/2,-x,-z'
'-x+1/2,-y+1/2,z'
'x+1/2,y+1/2,-z'
'y,-x+1/2,z'
'-y,x+1/2,-z'
loop_
_atom_site_label
_atom_site_type_symbol
_atom_site_fract_x
_atom_site_fract_y
_atom_site_fract_z
Tl1 Tl 0.250 0.250 0.163
Pb1 Pb 0.016 0.668 0.329
Pb2 Pb 0.110 0.693 0.852
Br1 Br 0.040 0.133 0.386
Br2 Br 0.068 0.133 0.904
Br3 Br 0.250 0.750 0.500
O1 O 0.141 0.703 0.130
```

## Properties
M_tot, μB/cell: 0.00
Uncorrected formation energy, kJ/mol of atoms: -96.4

# 4
The following is a DFT calculation (GGA-PBEsol) of a relaxed structure of PtBr3O.

Structure (CIF):
```
data_PtBr3O
_chemical_formula_sum 'Pt1 Br3 O1'
_space_group_name_H-M_alt 'P m -3 m'
_space_group_IT_number 221
_space_group_name_Hall '-P 4 2 3'
_cell_length_a 4.587
_cell_length_b 4.587
_cell_length_c 4.587
_cell_angle_alpha 90.00
_cell_angle_beta 90.00
_cell_angle_gamma 90.00
loop_
_atom_site_label
_atom_site_type_symbol
_atom_site_fract_x
_atom_site_fract_y
_atom_site_fract_z
Pt1 Pt 0.000 0.000 0.000
Br1 Br 0.000 0.500 0.500
O1 O 0.500 0.500 0.500
```

## Properties
M_tot, μB/cell: 1.50
Uncorrected formation energy, kJ/mol of atoms: 100.4

# 5
The following is a DFT calculation (GGA-PBEsol) of a relaxed structure of PtSe2BrO.

Structure (CIF):
```
data_PtSe2BrO
_chemical_formula_sum 'Pt1 Se2 Br1 O1'
_space_group_name_H-M_alt 'P 4/m m m'
_space_group_IT_number 123
_space_group_name_Hall '-P 4 2'
_cell_length_a 4.832
_cell_length_b 4.832
_cell_length_c 5.166
_cell_angle_alpha 90.00
_cell_angle_beta 90.00
_cell_angle_gamma 90.00
loop_
_atom_site_label
_atom_site_type_symbol
_atom_site_fract_x
_atom_site_fract_y
_atom_site_fract_z
Pt1 Pt 0.000 0.000 0.000
Se1 Se 0.000 0.500 0.000
Br1 Br 0.000 0.000 0.500
O1 O 0.500 0.500 0.500
```

## Properties
M_tot, μB/cell: 1.66
Uncorrected formation energy, kJ/mol of atoms: 89.5

# 6
The following is a DFT calculation (GGA-PBEsol) of a relaxed structure of PuBrO.

Structure (CIF):
```
data_PuBrO
_chemical_formula_sum 'Pu2 Br2 O2'
_space_group_name_H-M_alt 'P 4/n m m'
_space_group_IT_number 129
_cell_length_a 3.879
_cell_length_b 3.879
_cell_length_c 7.891
_cell_angle_alpha 90.00
_cell_angle_beta 90.00
_cell_angle_gamma 90.00
loop_
_space_group_symop_operation_xyz
'x,y,z'
'-x,-y,-z'
'-y+1/2,x,z'
'y+1/2,-x,-z'
'-x+1/2,-y+1/2,z'
'x+1/2,y+1/2,-z'
'y,-x+1/2,z'
'-y,x+1/2,-z'
'x+1/2,-y,-z'
'-x+1/2,y,z'
'-y,-x,-z'
'y,x,z'
'-x,y+1/2,-z'
'x,-y+1/2,z'
'y+1/2,x+1/2,-z'
'-y+1/2,-x+1/2,z'
loop_
_atom_site_label
_atom_site_type_symbol
_atom_site_fract_x
_atom_site_fract_y
_atom_site_fract_z
Pu1 Pu 0.250 0.250 0.151
Br1 Br 0.250 0.250 0.654
O1 O 0.250 0.750 0.000
```

## Properties
M_tot, μB/cell: 10.00
Uncorrected formation energy, kJ/mol of atoms: -222.1

# 7
The following is a DFT calculation (GGA-PBEsol) of a relaxed structure of RbBr2O2.

Structure (CIF):
```
data_RbBr2O2
_chemical_formula_sum 'Rb2 Br4 O4'
_space_group_name_H-M_alt 'I 4/m m m'
_space_group_IT_number 139
_space_group_name_Hall '-I 4 2'
_cell_length_a 4.625
_cell_length_b 4.625
_cell_length_c 10.947
_cell_angle_alpha 90.00
_cell_angle_beta 90.00
_cell_angle_gamma 90.00
loop_
_atom_site_label
_atom_site_type_symbol
_atom_site_fract_x
_atom_site_fract_y
_atom_site_fract_z
Rb1 Rb 0.000 0.000 0.000
Br1 Br 0.000 0.000 0.281
O1 O 0.000 0.500 0.250
```

## Properties
M_tot, μB/cell: 0.00
Uncorrected formation energy, kJ/mol of atoms: -3.8

# 8
The following is a DFT calculation (GGA-PBEsol) of a relaxed structure of RbBrO3.

Structure (CIF):
```
data_RbBrO3
_chemical_formula_sum 'Rb1 Br1 O3'
_space_group_name_H-M_alt 'P m -3 m'
_space_group_IT_number 221
_space_group_name_Hall '-P 4 2 3'
_cell_length_a 4.044
_cell_length_b 4.044
_cell_length_c 4.044
_cell_angle_alpha 90.00
_cell_angle_beta 90.00
_cell_angle_gamma 90.00
loop_
_atom_site_label
_atom_site_type_symbol
_atom_site_fract_x
_atom_site_fract_y
_atom_site_fract_z
Rb1 Rb 0.000 0.000 0.000
Br1 Br 0.500 0.500 0.500
O1 O 0.000 0.500 0.500
```

## Properties
M_tot, μB/cell: 0.00
Uncorrected formation energy, kJ/mol of atoms: -18.3